Record 1
VASP calculation (PBE-GGA) on a geometry-optimized CsGaS structure.

E_form (uncorrected) = -0.378 eV/atom
SG = Fddd

Lattice parameters (Å, degrees): 9.6678 9.0272 7.9146 69.23 60.82 49.95
Closest atoms and distances in Å follow each position.
Fractional positions:
Cs1 0.0184 0.0184 0.7316  4 S 3.46-3.58
Cs2 0.2684 0.2684 0.9816  4 S 3.46-3.58
Cs3 0.7316 0.7316 0.0184  4 S 3.46-3.58
Cs4 0.9816 0.9816 0.2684  4 S 3.46-3.58
Ga1 0.0000 0.5000 0.5000  2 S 2.58
Ga2 0.5000 0.0000 0.5000  2 S 2.58
Ga3 0.5000 0.5000 0.0000  2 S 2.58
Ga4 0.5000 0.5000 0.5000  2 S 2.58
S1 0.1591 0.5909 0.5909  2 Ga 2.58
S2 0.4091 0.8409 0.8409  2 Ga 2.58
S3 0.5909 0.1591 0.1591  2 Ga 2.58
S4 0.8409 0.4091 0.4091  2 Ga 2.58


Record 2
VASP calculation (PBE-GGA) on a geometry-optimized K2ZrAg structure.

Formation energy from the elements = 0.63 eV/atom
SG = Cmmm

Lattice parameters (Å, degrees): 3.7374 5.3065 12.2225 90.00 90.00 90.00
Closest atoms and distances in Å follow each position.
Fractional positions:
K1 0.0000 0.0000 0.2246  4 K 3.25, 2 Ag 3.32
K2 0.0000 0.0000 0.7754  4 K 3.25, 2 Ag 3.32
K3 0.5000 0.5000 0.2246  4 K 3.25, 2 Ag 3.32
K4 0.5000 0.5000 0.7754  4 K 3.25, 2 Ag 3.32
Zr1 0.0000 0.5000 0.5000  4 Zr 3.25
Zr2 0.5000 0.0000 0.5000  4 Zr 3.25
Ag1 0.0000 0.5000 0.0000  4 Ag 3.25, 4 K 3.32
Ag2 0.5000 0.0000 0.0000  4 Ag 3.25, 4 K 3.32


Record 3
VASP calculation (PBE-GGA) on a geometry-optimized SmHo2PuS4 structure.

E_form (uncorrected) = -1.959 eV/atom
SG = P2/m

Lattice parameters (Å, degrees): 6.8140 3.9168 6.8321 90.00 109.18 90.00
Closest atoms and distances in Å follow each position.
Fractional positions:
Sm1 0.0000 0.0000 0.0000  6 S 2.82
Ho1 0.0000 0.5000 0.5000  6 S 2.76
Ho2 0.5000 0.0000 0.5000  6 S 2.74
Pu1 0.5000 0.5000 0.0000  6 S 2.81
S1 0.2495 0.0000 0.7424  3 Ho 2.74-2.76, 2 Pu 2.81, 1 Sm 2.82
S2 0.2552 0.5000 0.2596  3 Ho 2.74-2.76, 1 Pu 2.81, 2 Sm 2.82
S3 0.7448 0.5000 0.7404  3 Ho 2.74-2.76, 1 Pu 2.81, 2 Sm 2.82
S4 0.7505 0.0000 0.2576  3 Ho 2.74-2.76, 2 Pu 2.81, 1 Sm 2.82


Record 4
VASP calculation (PBE-GGA) on a geometry-optimized Ag12AuF6 structure.

E_form (uncorrected) = -0.627 eV/atom
SG = R-3

Lattice parameters (Å, degrees): 7.2352 7.2352 7.2352 107.67 107.67 107.67
Closest atoms and distances in Å follow each position.
Fractional positions:
Ag1 0.0558 0.2359 0.3484  1 F 2.33
Ag2 0.2140 0.6814 0.3925  1 F 2.30
Ag3 0.2359 0.3484 0.0558  1 F 2.33
Ag4 0.3186 0.6075 0.7860  1 F 2.30
Ag5 0.3484 0.0558 0.2359  1 F 2.33
Ag6 0.3925 0.2140 0.6814  1 F 2.30
Ag7 0.6075 0.7860 0.3186  1 F 2.30
Ag8 0.6516 0.9442 0.7641  1 F 2.33
Ag9 0.6814 0.3925 0.2140  1 F 2.30
Ag10 0.7641 0.6516 0.9442  1 F 2.33
Ag11 0.7860 0.3186 0.6075  1 F 2.30
Ag12 0.9442 0.7641 0.6516  1 F 2.33
Au1 0.5000 0.5000 0.5000  12 Ag 2.81-2.84
F1 0.0102 0.1581 0.6873  2 Ag 2.30-2.33
F2 0.1581 0.6873 0.0102  2 Ag 2.30-2.33
F3 0.3127 0.9898 0.8419  2 Ag 2.30-2.33
F4 0.6873 0.0102 0.1581  2 Ag 2.30-2.33
F5 0.8419 0.3127 0.9898  2 Ag 2.30-2.33
F6 0.9898 0.8419 0.3127  2 Ag 2.30-2.33


Record 5
VASP calculation (PBE-GGA) on a geometry-optimized GaSiSe2Br structure.

E_form (uncorrected) = -0.004 eV/atom
SG = P4/mmm

Lattice parameters (Å, degrees): 4.8443 4.8443 5.4022 90.00 90.00 90.00
Closest atoms and distances in Å follow each position.
Fractional positions:
Ga1 0.0000 0.0000 0.0000  4 Br 3.43, 8 Se 3.63
Si1 0.5000 0.5000 0.5000  4 Se 2.42, 2 Br 2.70
Se1 0.0000 0.5000 0.5000  2 Si 2.42
Se2 0.5000 0.0000 0.5000  2 Si 2.42
Br1 0.5000 0.5000 0.0000  2 Si 2.70


Record 6
VASP calculation (PBE-GGA) on a geometry-optimized Tc2Sn2Bi structure.

Formation energy from the elements = 0.30 eV/atom
SG = P4/mbm

Lattice parameters (Å, degrees): 7.9064 7.9064 3.2291 90.00 90.00 90.00
Closest atoms and distances in Å follow each position.
Fractional positions:
Tc1 0.1482 0.3518 0.0000  6 Sn 2.82, 2 Bi 3.02
Tc2 0.3518 0.8518 0.0000  6 Sn 2.82, 2 Bi 3.02
Tc3 0.6482 0.1482 0.0000  6 Sn 2.82, 2 Bi 3.02
Tc4 0.8518 0.6482 0.0000  6 Sn 2.82, 2 Bi 3.02
Sn1 0.1446 0.6446 0.5000  6 Tc 2.82
Sn2 0.3554 0.1446 0.5000  6 Tc 2.82
Sn3 0.6446 0.8554 0.5000  6 Tc 2.82
Sn4 0.8554 0.3554 0.5000  6 Tc 2.82
Bi1 0.0000 0.0000 0.0000  4 Tc 3.02, 2 Bi 3.23
Bi2 0.5000 0.5000 0.0000  4 Tc 3.02, 2 Bi 3.23


Record 7
VASP calculation (PBE-GGA) on a geometry-optimized Mg2PbO4 structure.

E_form (uncorrected) = -1.834 eV/atom
SG = Fdd2

Lattice parameters (Å, degrees): 6.5143 5.9307 7.7385 55.02 48.24 76.74
Closest atoms and distances in Å follow each position.
Fractional positions:
Mg1 0.2257 0.7743 0.3261  5 O 2.01-2.24
Mg2 0.5761 0.9239 0.4757  5 O 2.01-2.24
Mg3 0.7743 0.2257 0.6739  5 O 2.01-2.24
Mg4 0.9239 0.5761 0.0243  5 O 2.01-2.24
Pb1 0.2448 0.2448 0.7552  6 O 2.16-2.32
Pb2 0.4948 0.4948 0.0052  6 O 2.16-2.32
O1 0.1893 0.3254 0.4594  2 Mg 2.01-2.24, 1 Pb 2.21
O2 0.2240 0.7906 0.9246  2 Mg 2.01-2.24, 1 Pb 2.21
O3 0.2652 0.6882 0.5944  3 Mg 2.02-2.18, 1 Pb 2.16
O4 0.3254 0.1893 0.0260  2 Mg 2.01-2.24, 1 Pb 2.21
O5 0.6556 0.7978 0.9848  3 Mg 2.02-2.18, 1 Pb 2.16
O6 0.6882 0.2652 0.4522  3 Mg 2.02-2.18, 1 Pb 2.16
O7 0.7906 0.2240 0.0607  2 Mg 2.01-2.24, 1 Pb 2.21
O8 0.7978 0.6556 0.5618  3 Mg 2.02-2.18, 1 Pb 2.16


Record 8
VASP calculation (PBE-GGA) on a geometry-optimized Ti3Tl5S12 structure.

E_form (uncorrected) = -0.250 eV/atom
SG = Ia-3d

Lattice parameters (Å, degrees): 13.3396 13.3396 13.3396 109.47 109.47 109.47
Closest atoms and distances in Å follow each position.
Fractional positions:
Ti1 0.1250 0.2500 0.3750  8 S 2.66-2.88
Ti2 0.1250 0.3750 0.7500  8 S 2.66-2.88
Ti3 0.2500 0.3750 0.1250  8 S 2.66-2.88
Ti4 0.2500 0.8750 0.6250  8 S 2.66-2.88
Ti5 0.3750 0.1250 0.2500  8 S 2.66-2.88
Ti6 0.3750 0.7500 0.1250  8 S 2.66-2.88
Ti7 0.6250 0.2500 0.8750  8 S 2.66-2.88
Ti8 0.6250 0.8750 0.7500  8 S 2.66-2.88
Ti9 0.7500 0.1250 0.3750  8 S 2.66-2.88
Ti10 0.7500 0.6250 0.8750  8 S 2.66-2.88
Ti11 0.8750 0.6250 0.2500  8 S 2.66-2.88
Ti12 0.8750 0.7500 0.6250  8 S 2.66-2.88
Tl1 0.0000 0.0000 0.0000  6 S 2.72
Tl2 0.0000 0.0000 0.5000  6 S 2.72
Tl3 0.0000 0.5000 0.0000  6 S 2.72
Tl4 0.0000 0.5000 0.5000  6 S 2.72
Tl5 0.1250 0.7500 0.8750  4 S 2.54
Tl6 0.1250 0.8750 0.2500  4 S 2.54
Tl7 0.2500 0.1250 0.8750  4 S 2.54
Tl8 0.2500 0.6250 0.3750  4 S 2.54
Tl9 0.3750 0.2500 0.6250  4 S 2.54
Tl10 0.3750 0.6250 0.7500  4 S 2.54
Tl11 0.5000 0.0000 0.0000  6 S 2.72
Tl12 0.5000 0.0000 0.5000  6 S 2.72
Tl13 0.5000 0.5000 0.0000  6 S 2.72
Tl14 0.5000 0.5000 0.5000  6 S 2.72
Tl15 0.6250 0.3750 0.2500  4 S 2.54
Tl16 0.6250 0.7500 0.3750  4 S 2.54
Tl17 0.7500 0.3750 0.6250  4 S 2.54
Tl18 0.7500 0.8750 0.1250  4 S 2.54
Tl19 0.8750 0.1250 0.7500  4 S 2.54
Tl20 0.8750 0.2500 0.1250  4 S 2.54
S1 0.0648 0.2371 0.1407  2 Tl 2.54-2.72, 1 Ti 2.66, 1 S 2.75
S2 0.0648 0.3276 0.9241  2 Tl 2.54-2.72, 1 Ti 2.66, 1 S 2.75
S3 0.0759 0.6407 0.4035  2 Tl 2.54-2.72, 1 Ti 2.66, 1 S 2.75
S4 0.0759 0.9352 0.6724  2 Tl 2.54-2.72, 1 Ti 2.66, 1 S 2.75
S5 0.0965 0.7371 0.6724  2 Tl 2.54-2.72, 1 Ti 2.66, 1 S 2.75
S6 0.0965 0.8593 0.4241  2 Tl 2.54-2.72, 1 Ti 2.66, 1 S 2.75
S7 0.1407 0.0648 0.2371  2 Tl 2.54-2.72, 1 Ti 2.66, 1 S 2.75
S8 0.1407 0.5759 0.9035  2 Tl 2.54-2.72, 1 Ti 2.66, 1 S 2.75
S9 0.1724 0.2371 0.5965  2 Tl 2.54-2.72, 1 Ti 2.66, 1 S 2.75
S10 0.1724 0.4352 0.5759  2 Tl 2.54-2.72, 1 Ti 2.66, 1 S 2.75
S11 0.2371 0.1407 0.0648  2 Tl 2.54-2.72, 1 Ti 2.66, 1 S 2.75
S12 0.2371 0.5965 0.1724  2 Tl 2.54-2.72, 1 Ti 2.66, 1 S 2.75
S13 0.2629 0.3276 0.9035  2 Tl 2.54-2.72, 1 Ti 2.66, 1 S 2.75
S14 0.2629 0.4352 0.3593  2 Tl 2.54-2.72, 1 Ti 2.66, 1 S 2.75
S15 0.3276 0.9035 0.2629  2 Tl 2.54-2.72, 1 Ti 2.66, 1 S 2.75
S16 0.3276 0.9241 0.0648  2 Tl 2.54-2.72, 1 Ti 2.66, 1 S 2.75
S17 0.3593 0.2629 0.4352  2 Tl 2.54-2.72, 1 Ti 2.66, 1 S 2.75
S18 0.3593 0.5965 0.9241  2 Tl 2.54-2.72, 1 Ti 2.66, 1 S 2.75
S19 0.4035 0.0759 0.6407  2 Tl 2.54-2.72, 1 Ti 2.66, 1 S 2.75
S20 0.4035 0.8276 0.7629  2 Tl 2.54-2.72, 1 Ti 2.66, 1 S 2.75
S21 0.4241 0.0965 0.8593  2 Tl 2.54-2.72, 1 Ti 2.66, 1 S 2.75
S22 0.4241 0.8276 0.5648  2 Tl 2.54-2.72, 1 Ti 2.66, 1 S 2.75
S23 0.4352 0.3593 0.2629  2 Tl 2.54-2.72, 1 Ti 2.66, 1 S 2.75
S24 0.4352 0.5759 0.1724  2 Tl 2.54-2.72, 1 Ti 2.66, 1 S 2.75
S25 0.5648 0.4241 0.8276  2 Tl 2.54-2.72, 1 Ti 2.66, 1 S 2.75
S26 0.5648 0.6407 0.7371  2 Tl 2.54-2.72, 1 Ti 2.66, 1 S 2.75
S27 0.5759 0.1724 0.4352  2 Tl 2.54-2.72, 1 Ti 2.66, 1 S 2.75
S28 0.5759 0.9035 0.1407  2 Tl 2.54-2.72, 1 Ti 2.66, 1 S 2.75
S29 0.5965 0.1724 0.2371  2 Tl 2.54-2.72, 1 Ti 2.66, 1 S 2.75
S30 0.5965 0.9241 0.3593  2 Tl 2.54-2.72, 1 Ti 2.66, 1 S 2.75
S31 0.6407 0.4035 0.0759  2 Tl 2.54-2.72, 1 Ti 2.66, 1 S 2.75
S32 0.6407 0.7371 0.5648  2 Tl 2.54-2.72, 1 Ti 2.66, 1 S 2.75
S33 0.6724 0.0759 0.9352  2 Tl 2.54-2.72, 1 Ti 2.66, 1 S 2.75
S34 0.6724 0.0965 0.7371  2 Tl 2.54-2.72, 1 Ti 2.66, 1 S 2.75
S35 0.7371 0.5648 0.6407  2 Tl 2.54-2.72, 1 Ti 2.66, 1 S 2.75
S36 0.7371 0.6724 0.0965  2 Tl 2.54-2.72, 1 Ti 2.66, 1 S 2.75
S37 0.7629 0.4035 0.8276  2 Tl 2.54-2.72, 1 Ti 2.66, 1 S 2.75
S38 0.7629 0.8593 0.9352  2 Tl 2.54-2.72, 1 Ti 2.66, 1 S 2.75
S39 0.8276 0.5648 0.4241  2 Tl 2.54-2.72, 1 Ti 2.66, 1 S 2.75
S40 0.8276 0.7629 0.4035  2 Tl 2.54-2.72, 1 Ti 2.66, 1 S 2.75
S41 0.8593 0.4241 0.0965  2 Tl 2.54-2.72, 1 Ti 2.66, 1 S 2.75
S42 0.8593 0.9352 0.7629  2 Tl 2.54-2.72, 1 Ti 2.66, 1 S 2.75
S43 0.9035 0.1407 0.5759  2 Tl 2.54-2.72, 1 Ti 2.66, 1 S 2.75
S44 0.9035 0.2629 0.3276  2 Tl 2.54-2.72, 1 Ti 2.66, 1 S 2.75
S45 0.9241 0.0648 0.3276  2 Tl 2.54-2.72, 1 Ti 2.66, 1 S 2.75
S46 0.9241 0.3593 0.5965  2 Tl 2.54-2.72, 1 Ti 2.66, 1 S 2.75
S47 0.9352 0.6724 0.0759  2 Tl 2.54-2.72, 1 Ti 2.66, 1 S 2.75
S48 0.9352 0.7629 0.8593  2 Tl 2.54-2.72, 1 Ti 2.66, 1 S 2.75


Uncorrected energy / eV per atom: -3.047, -2.769, -7.549, -3.191, -3.422, -6.221, -5.653, -4.502